1.
Crystalline SrI2Br8 at its relaxed geometry. Source: the Alexandria database, functional PBE-GGA.

As for the space group: C2/m (12). Its magnetization is 0.000 μB per formula unit. The calculation puts the total energy at -2.05 eV per atom. The calculation puts the energy relative to the elements, uncorrected at -0.398 eV per atom.

a = 8.310 Å, b = 8.699 Å, c = 8.699 Å
α = 53.71°, β = 64.98°, γ = 64.98°
Sites, in units of the cell vectors:
1 Sr 0.000 0.000 0.000
2 I 0.581 0.855 0.855
3 I 0.419 0.145 0.145
4 Br 0.242 0.277 0.801
5 Br 0.758 0.199 0.723
6 Br 0.358 0.778 0.778
7 Br 0.642 0.222 0.222
8 Br 0.242 0.801 0.277
9 Br 0.758 0.723 0.199
10 Br 0.882 0.695 0.695
11 Br 0.118 0.305 0.305

=====

2.
Crystalline Sr4I3Br4 at its relaxed geometry. Source: the Alexandria database, functional PBE-GGA.

As for the space group: Immm (71). Its magnetization is 0.069 μB per formula unit. The calculation puts the total energy at -3.42 eV per atom. The calculation puts the energy relative to the elements, uncorrected at -1.780 eV per atom.

a = 4.488 Å, b = 9.562 Å, c = 10.327 Å
α = 117.58°, β = 102.55°, γ = 90.00°
Sites, in units of the cell vectors:
1 Sr 0.244 0.744 0.488
2 Sr 0.756 0.256 0.512
3 Sr 0.500 0.768 0.000
4 Sr 0.500 0.232 0.000
5 I 0.104 0.104 0.208
6 I 0.896 0.896 0.792
7 I 0.000 0.500 0.000
8 Br 0.327 0.136 0.655
9 Br 0.673 0.482 0.345
10 Br 0.673 0.864 0.345
11 Br 0.327 0.518 0.655

=====

3.
Crystalline Sr2I3Br at its relaxed geometry. Source: the Alexandria database, functional PBE-GGA.

As for the space group: C2/m (12). Its magnetization is 0.000 μB per formula unit. The calculation puts the total energy at -3.42 eV per atom. The calculation puts the energy relative to the elements, uncorrected at -1.805 eV per atom.

a = 4.974 Å, b = 9.741 Å, c = 12.187 Å
α = 70.33°, β = 78.23°, γ = 75.21°
Sites, in units of the cell vectors:
1 Sr 0.856 0.461 0.826
2 Sr 0.144 0.539 0.174
3 Sr 0.613 0.206 0.568
4 Sr 0.387 0.794 0.432
5 I 0.051 0.137 0.761
6 I 0.949 0.863 0.239
7 I 0.659 0.691 0.991
8 I 0.341 0.309 0.009
9 I 0.777 0.830 0.615
10 I 0.223 0.170 0.385
11 Br 0.425 0.497 0.654
12 Br 0.575 0.503 0.346

=====

4.
Crystalline SrIBr at its relaxed geometry. Source: the Alexandria database, functional PBE-GGA.

As for the space group: Pnma (62). Its magnetization is 0.000 μB per formula unit. Its energy above the most stable polymorph in this dataset is 0.00 eV per formula unit. The calculation puts the total energy at -3.54 eV per atom. The calculation puts the energy relative to the elements, uncorrected at -1.908 eV per atom.

a = 4.740 Å, b = 8.165 Å, c = 14.511 Å
α = 90.00°, β = 90.00°, γ = 90.00°
Sites, in units of the cell vectors:
1 Sr 0.750 0.757 0.002
2 Sr 0.750 0.257 0.498
3 Sr 0.250 0.243 0.998
4 Sr 0.250 0.743 0.502
5 I 0.750 0.916 0.374
6 I 0.750 0.416 0.126
7 I 0.250 0.084 0.626
8 I 0.250 0.584 0.874
9 Br 0.750 0.085 0.896
10 Br 0.750 0.585 0.604
11 Br 0.250 0.915 0.104
12 Br 0.250 0.415 0.396

=====

5.
Crystalline Sr5I12Br3 at its relaxed geometry. Source: the Alexandria database, functional PBE-GGA.

As for the space group: Ia-3d (230). Its magnetization is 5.141 μB per formula unit. The calculation puts the total energy at -2.57 eV per atom. The calculation puts the energy relative to the elements, uncorrected at -0.965 eV per atom.

a = 17.886 Å, b = 17.886 Å, c = 17.886 Å
α = 109.47°, β = 109.47°, γ = 109.47°
Site moments in Bohr magnetons follow the coordinates.
Sites, in units of the cell vectors:
1 Br 0.750 0.375 0.125  0.64
2 Br 0.875 0.750 0.125  0.64
3 Br 0.375 0.750 0.625  0.64
4 Br 0.250 0.125 0.375  0.64
5 Br 0.875 0.125 0.250  0.64
6 Br 0.375 0.625 0.250  0.64
7 Br 0.625 0.375 0.750  0.64
8 Br 0.125 0.875 0.750  0.64
9 Br 0.750 0.875 0.625  0.64
10 Br 0.625 0.250 0.375  0.64
11 Br 0.125 0.250 0.875  0.64
12 Br 0.250 0.625 0.875  0.64
13 Sr 0.125 0.375 0.250  0.00
14 Sr 0.000 0.500 0.000  0.00
15 Sr 0.000 0.000 0.000  0.00
16 Sr 0.375 0.250 0.125  0.00
17 Sr 0.500 0.000 0.500  0.00
18 Sr 0.500 0.500 0.000  0.00
19 Sr 0.125 0.750 0.375  0.00
20 Sr 0.750 0.125 0.875  0.00
21 Sr 0.750 0.625 0.375  0.00
22 Sr 0.375 0.125 0.750  0.00
23 Sr 0.625 0.875 0.250  0.00
24 Sr 0.500 0.500 0.500  0.00
25 Sr 0.500 0.000 0.000  0.00
26 Sr 0.000 0.000 0.500  0.00
27 Sr 0.250 0.375 0.625  0.00
28 Sr 0.250 0.875 0.125  0.00
29 Sr 0.000 0.500 0.500  0.00
30 Sr 0.875 0.250 0.625  0.00
31 Sr 0.625 0.750 0.875  0.00
32 Sr 0.875 0.625 0.750  0.00
33 I 0.693 0.142 0.027  0.13
34 I 0.334 0.527 0.385  0.13
35 I 0.973 0.358 0.307  0.13
36 I 0.527 0.193 0.142  0.13
37 I 0.551 0.693 0.666  0.13
38 I 0.973 0.615 0.166  0.13
39 I 0.334 0.807 0.449  0.13
40 I 0.115 0.949 0.142  0.13
41 I 0.615 0.973 0.666  0.13
42 I 0.693 0.551 0.166  0.13
43 I 0.807 0.473 0.358  0.13
44 I 0.834 0.885 0.027  0.13
45 I 0.142 0.693 0.527  0.13
46 I 0.358 0.385 0.051  0.13
47 I 0.051 0.885 0.358  0.13
48 I 0.449 0.142 0.615  0.13
49 I 0.051 0.166 0.193  0.13
50 I 0.473 0.666 0.115  0.13
51 I 0.834 0.949 0.307  0.13
52 I 0.142 0.449 0.115  0.13
53 I 0.358 0.973 0.807  0.13
54 I 0.615 0.642 0.449  0.13
55 I 0.885 0.834 0.527  0.13
56 I 0.807 0.334 0.949  0.13
57 I 0.385 0.358 0.551  0.13
58 I 0.115 0.166 0.473  0.13
59 I 0.193 0.666 0.051  0.13
60 I 0.166 0.051 0.693  0.13
61 I 0.642 0.027 0.193  0.13
62 I 0.858 0.551 0.885  0.13
63 I 0.527 0.334 0.885  0.13
64 I 0.551 0.858 0.385  0.13
65 I 0.949 0.834 0.807  0.13
66 I 0.949 0.115 0.642  0.13
67 I 0.858 0.307 0.473  0.13
68 I 0.166 0.115 0.973  0.13
69 I 0.642 0.615 0.949  0.13
70 I 0.385 0.027 0.334  0.13
71 I 0.307 0.449 0.834  0.13
72 I 0.193 0.527 0.642  0.13
73 I 0.885 0.051 0.858  0.13
74 I 0.666 0.193 0.551  0.13
75 I 0.473 0.807 0.858  0.13
76 I 0.027 0.385 0.834  0.13
77 I 0.449 0.307 0.334  0.13
78 I 0.027 0.642 0.693  0.13
79 I 0.666 0.473 0.615  0.13
80 I 0.307 0.858 0.973  0.13

=====

6.
Crystalline Sr5I3Br12 at its relaxed geometry. Source: the Alexandria database, functional PBE-GGA.

As for the space group: Ia-3d (230). Its magnetization is 5.043 μB per formula unit. The calculation puts the total energy at -2.95 eV per atom. The calculation puts the energy relative to the elements, uncorrected at -1.296 eV per atom.

a = 17.030 Å, b = 17.030 Å, c = 17.030 Å
α = 109.47°, β = 109.47°, γ = 109.47°
Site moments in Bohr magnetons follow the coordinates.
Sites, in units of the cell vectors:
1 I 0.750 0.375 0.125  0.73
2 I 0.875 0.750 0.125  0.73
3 I 0.375 0.750 0.625  0.73
4 I 0.250 0.125 0.375  0.73
5 I 0.875 0.125 0.250  0.73
6 I 0.375 0.625 0.250  0.73
7 I 0.625 0.375 0.750  0.73
8 I 0.125 0.875 0.750  0.73
9 I 0.750 0.875 0.625  0.73
10 I 0.625 0.250 0.375  0.73
11 I 0.125 0.250 0.875  0.73
12 I 0.250 0.625 0.875  0.73
13 Sr 0.125 0.375 0.250  0.00
14 Sr 0.000 0.500 0.000  0.00
15 Sr 0.000 0.000 0.000  0.00
16 Sr 0.375 0.250 0.125  0.00
17 Sr 0.500 0.000 0.500  0.00
18 Sr 0.500 0.500 0.000  0.00
19 Sr 0.125 0.750 0.375  0.00
20 Sr 0.750 0.125 0.875  0.00
21 Sr 0.750 0.625 0.375  0.00
22 Sr 0.375 0.125 0.750  0.00
23 Sr 0.625 0.875 0.250  0.00
24 Sr 0.500 0.500 0.500  0.00
25 Sr 0.500 0.000 0.000  0.00
26 Sr 0.000 0.000 0.500  0.00
27 Sr 0.250 0.375 0.625  0.00
28 Sr 0.250 0.875 0.125  0.00
29 Sr 0.000 0.500 0.500  0.00
30 Sr 0.875 0.250 0.625  0.00
31 Sr 0.625 0.750 0.875  0.00
32 Sr 0.875 0.625 0.750  0.00
33 Br 0.687 0.131 0.017  0.10
34 Br 0.330 0.517 0.386  0.10
35 Br 0.983 0.369 0.313  0.10
36 Br 0.517 0.187 0.131  0.10
37 Br 0.556 0.687 0.670  0.10
38 Br 0.983 0.614 0.170  0.10
39 Br 0.330 0.813 0.444  0.10
40 Br 0.114 0.944 0.131  0.10
41 Br 0.614 0.983 0.670  0.10
42 Br 0.687 0.556 0.170  0.10
43 Br 0.813 0.483 0.369  0.10
44 Br 0.830 0.886 0.017  0.10
45 Br 0.131 0.687 0.517  0.10
46 Br 0.369 0.386 0.056  0.10
47 Br 0.056 0.886 0.369  0.10
48 Br 0.444 0.131 0.614  0.10
49 Br 0.056 0.170 0.187  0.10
50 Br 0.483 0.670 0.114  0.10
51 Br 0.830 0.944 0.313  0.10
52 Br 0.131 0.444 0.114  0.10
53 Br 0.369 0.983 0.813  0.10
54 Br 0.614 0.631 0.444  0.10
55 Br 0.886 0.830 0.517  0.10
56 Br 0.813 0.330 0.944  0.10
57 Br 0.386 0.369 0.556  0.10
58 Br 0.114 0.170 0.483  0.10
59 Br 0.187 0.670 0.056  0.10
60 Br 0.170 0.056 0.687  0.10
61 Br 0.631 0.017 0.187  0.10
62 Br 0.869 0.556 0.886  0.10
63 Br 0.517 0.330 0.886  0.10
64 Br 0.556 0.869 0.386  0.10
65 Br 0.944 0.830 0.813  0.10
66 Br 0.944 0.114 0.631  0.10
67 Br 0.869 0.313 0.483  0.10
68 Br 0.170 0.114 0.983  0.10
69 Br 0.631 0.614 0.944  0.10
70 Br 0.386 0.017 0.330  0.10
71 Br 0.313 0.444 0.830  0.10
72 Br 0.187 0.517 0.631  0.10
73 Br 0.886 0.056 0.869  0.10
74 Br 0.670 0.187 0.556  0.10
75 Br 0.483 0.813 0.869  0.10
76 Br 0.017 0.386 0.830  0.10
77 Br 0.444 0.313 0.330  0.10
78 Br 0.017 0.631 0.687  0.10
79 Br 0.670 0.483 0.614  0.10
80 Br 0.313 0.869 0.983  0.10

=====

7.
Crystalline SrIBr at its relaxed geometry. Source: the Alexandria database, functional PBE-GGA.

As for the space group: P2_1/m (11). Its magnetization is 0.000 μB per formula unit. Its energy above the most stable polymorph in this dataset is 0.00 eV per formula unit. The calculation puts the total energy at -3.54 eV per atom. The calculation puts the energy relative to the elements, uncorrected at -1.907 eV per atom.

a = 4.726 Å, b = 8.176 Å, c = 7.302 Å
α = 92.17°, β = 90.00°, γ = 90.00°
Sites, in units of the cell vectors:
1 I 0.750 0.593 0.249
2 I 0.250 0.407 0.751
3 Sr 0.750 0.243 0.006
4 Sr 0.250 0.757 0.994
5 Br 0.750 0.910 0.790
6 Br 0.250 0.090 0.210

=====

8.
Crystalline Sr4IBr6 at its relaxed geometry. Source: the Alexandria database, functional PBE-GGA.

As for the space group: I-42m (121). Its magnetization is 0.996 μB per formula unit. The calculation puts the total energy at -3.56 eV per atom. The calculation puts the energy relative to the elements, uncorrected at -1.896 eV per atom.

a = 7.706 Å, b = 7.706 Å, c = 8.777 Å
α = 63.96°, β = 63.96°, γ = 90.00°
Sites, in units of the cell vectors:
1 Sr 0.601 0.182 0.217
2 Sr 0.818 0.818 0.783
3 Sr 0.182 0.601 0.217
4 Sr 0.399 0.399 0.783
5 I 0.000 0.000 0.000
6 Br 0.514 0.866 0.620
7 Br 0.866 0.514 0.620
8 Br 0.486 0.486 0.380
9 Br 0.000 0.500 0.000
10 Br 0.134 0.134 0.380
11 Br 0.500 0.000 0.000